Material: ZnTc2
Method: DFT, PBE
State: relaxed

Values from the calculation:
ΔE_f: 252 meV per atom
Energy above the most stable polymorph in this dataset: 289 meV per atom
Symmetry: No. 191
Total magnetic moment: 0.000 μB/cell
DOS at the Fermi energy: 0.83 states/eV per atom

CIF file:
```
data_ZnTc2
_space_group_name_H-M_alt 'P 1'
_space_group_IT_number 1
_cell_length_a 4.315
_cell_length_b 4.315
_cell_length_c 2.783
_cell_angle_alpha 90.00
_cell_angle_beta 90.00
_cell_angle_gamma 120.00
loop_
_space_group_symop_operation_xyz
'x,y,z'
loop_
_atom_site_label
_atom_site_fract_x
_atom_site_fract_y
_atom_site_fract_z
Tc1 0.333 0.667 0.500
Tc2 0.667 0.333 0.500
Zn1 0.000 0.000 0.000
```


Material: Zn3Tc
Method: DFT, PBE
State: relaxed

Values from the calculation:
ΔE_f: 78 meV per atom
Symmetry: No. 139
Total magnetic moment: 0.002 μB/cell
DOS at the Fermi energy: 0.99 states/eV per atom

CIF file:
```
data_Zn3Tc
_space_group_name_H-M_alt 'P 1'
_space_group_IT_number 1
_cell_length_a 3.721
_cell_length_b 4.898
_cell_length_c 3.721
_cell_angle_alpha 67.68
_cell_angle_beta 90.00
_cell_angle_gamma 112.32
loop_
_space_group_symop_operation_xyz
'x,y,z'
loop_
_atom_site_label
_atom_site_fract_x
_atom_site_fract_y
_atom_site_fract_z
Tc1 0.000 0.000 0.000
Zn1 0.250 0.500 0.250
Zn2 0.500 0.000 0.500
Zn3 0.750 0.500 0.750
```


Material: ZnTc2
Method: DFT, PBE
State: relaxed

Values from the calculation:
ΔE_f: 1016 meV per atom
Energy above the most stable polymorph in this dataset: 1053 meV per atom
Symmetry: No. 225
Total magnetic moment: 0.001 μB/cell
DOS at the Fermi energy: 1.47 states/eV per atom

CIF file:
```
data_ZnTc2
_space_group_name_H-M_alt 'P 1'
_space_group_IT_number 1
_cell_length_a 4.097
_cell_length_b 4.097
_cell_length_c 4.097
_cell_angle_alpha 60.00
_cell_angle_beta 60.00
_cell_angle_gamma 60.00
loop_
_space_group_symop_operation_xyz
'x,y,z'
loop_
_atom_site_label
_atom_site_fract_x
_atom_site_fract_y
_atom_site_fract_z
Tc1 0.750 0.750 0.750
Tc2 0.250 0.250 0.250
Zn1 0.000 0.000 0.000
```


Material: Zn4Tc5
Method: DFT, PBE
State: relaxed

Values from the calculation:
ΔE_f: 180 meV per atom
Energy above the most stable polymorph in this dataset: 0 meV per atom
Symmetry: No. 139
Total magnetic moment: 0.001 μB/cell
DOS at the Fermi energy: 0.85 states/eV per atom

CIF file:
```
data_Zn4Tc5
_space_group_name_H-M_alt 'P 1'
_space_group_IT_number 1
_cell_length_a 6.509
_cell_length_b 6.509
_cell_length_c 6.509
_cell_angle_alpha 93.62
_cell_angle_beta 93.62
_cell_angle_gamma 150.89
loop_
_space_group_symop_operation_xyz
'x,y,z'
loop_
_atom_site_label
_atom_site_fract_x
_atom_site_fract_y
_atom_site_fract_z
Zn1 0.000 0.667 0.667
Zn2 0.000 0.333 0.333
Zn3 0.667 0.000 0.667
Zn4 0.333 0.000 0.333
Tc1 0.000 0.000 0.000
Tc2 0.671 0.671 0.342
Tc3 0.329 0.329 0.658
Tc4 0.671 0.329 0.000
Tc5 0.329 0.671 0.000
```


Material: ZnTc3
Method: DFT, PBE
State: relaxed

Values from the calculation:
ΔE_f: 90 meV per atom
Symmetry: No. 123
Total magnetic moment: 0.000 μB/cell
DOS at the Fermi energy: 0.83 states/eV per atom

CIF file:
```
data_ZnTc3
_space_group_name_H-M_alt 'P 1'
_space_group_IT_number 1
_cell_length_a 2.775
_cell_length_b 2.775
_cell_length_c 7.529
_cell_angle_alpha 90.00
_cell_angle_beta 90.00
_cell_angle_gamma 90.00
loop_
_space_group_symop_operation_xyz
'x,y,z'
loop_
_atom_site_label
_atom_site_fract_x
_atom_site_fract_y
_atom_site_fract_z
Tc1 0.000 0.000 0.004
Tc2 0.000 0.000 0.496
Tc3 0.500 0.500 0.250
Zn1 0.500 0.500 0.750
```


Material: ZnTc2
Method: DFT, PBE
State: relaxed

Values from the calculation:
ΔE_f: 30 meV per atom
Energy above the most stable polymorph in this dataset: 67 meV per atom
Symmetry: No. 63
Total magnetic moment: 0.000 μB/cell
DOS at the Fermi energy: 0.71 states/eV per atom

CIF file:
```
data_ZnTc2
_space_group_name_H-M_alt 'P 1'
_space_group_IT_number 1
_cell_length_a 2.820
_cell_length_b 7.115
_cell_length_c 4.357
_cell_angle_alpha 90.00
_cell_angle_beta 90.00
_cell_angle_gamma 78.57
loop_
_space_group_symop_operation_xyz
'x,y,z'
loop_
_atom_site_label
_atom_site_fract_x
_atom_site_fract_y
_atom_site_fract_z
Tc1 0.996 0.007 0.000
Tc2 0.223 0.554 0.500
Tc3 0.333 0.335 0.000
Tc4 0.559 0.882 0.500
Zn1 0.667 0.667 0.000
Zn2 0.889 0.222 0.500
```


Material: Zr2Zn3Tc
Method: DFT, PBE
State: relaxed

Values from the calculation:
ΔE_f: -270 meV per atom
Symmetry: No. 12
Total magnetic moment: 0.051 μB/cell
DOS at the Fermi energy: 0.99 states/eV per atom

CIF file:
```
data_Zr2Zn3Tc
_space_group_name_H-M_alt 'P 1'
_space_group_IT_number 1
_cell_length_a 5.143
_cell_length_b 5.143
_cell_length_c 5.325
_cell_angle_alpha 89.87
_cell_angle_beta 118.84
_cell_angle_gamma 120.19
loop_
_space_group_symop_operation_xyz
'x,y,z'
loop_
_atom_site_label
_atom_site_fract_x
_atom_site_fract_y
_atom_site_fract_z
Zr1 0.747 0.374 0.121
Zr2 0.253 0.626 0.879
Zn1 0.500 0.500 0.500
Zn2 0.000 0.000 0.500
Zn3 0.500 0.000 0.500
Tc1 0.000 0.000 0.000
```


Material: Zr6ZnTc5
Method: DFT, PBE
State: relaxed

Values from the calculation:
ΔE_f: -373 meV per atom
Symmetry: No. 71
Total magnetic moment: 0.000 μB/cell
DOS at the Fermi energy: 0.62 states/eV per atom

CIF file:
```
data_Zr6ZnTc5
_space_group_name_H-M_alt 'P 1'
_space_group_IT_number 1
_cell_length_a 4.661
_cell_length_b 6.651
_cell_length_c 8.073
_cell_angle_alpha 114.33
_cell_angle_beta 106.78
_cell_angle_gamma 90.00
loop_
_space_group_symop_operation_xyz
'x,y,z'
loop_
_atom_site_label
_atom_site_fract_x
_atom_site_fract_y
_atom_site_fract_z
Zn1 0.000 0.000 0.000
Tc1 0.663 0.163 0.326
Tc2 0.333 0.333 0.666
Tc3 0.000 0.500 0.000
Tc4 0.667 0.667 0.334
Tc5 0.337 0.837 0.674
Zr1 0.830 0.576 0.661
Zr2 0.830 0.084 0.661
Zr3 0.500 0.740 0.000
Zr4 0.500 0.260 0.000
Zr5 0.170 0.916 0.339
Zr6 0.170 0.424 0.339
```


Copy entry 3 word for word.
Material: ZnTc2
Method: DFT, PBE
State: relaxed

Values from the calculation:
ΔE_f: 1016 meV per atom
Energy above the most stable polymorph in this dataset: 1053 meV per atom
Symmetry: No. 225
Total magnetic moment: 0.001 μB/cell
DOS at the Fermi energy: 1.47 states/eV per atom

CIF file:
```
data_ZnTc2
_space_group_name_H-M_alt 'P 1'
_space_group_IT_number 1
_cell_length_a 4.097
_cell_length_b 4.097
_cell_length_c 4.097
_cell_angle_alpha 60.00
_cell_angle_beta 60.00
_cell_angle_gamma 60.00
loop_
_space_group_symop_operation_xyz
'x,y,z'
loop_
_atom_site_label
_atom_site_fract_x
_atom_site_fract_y
_atom_site_fract_z
Tc1 0.750 0.750 0.750
Tc2 0.250 0.250 0.250
Zn1 0.000 0.000 0.000
```


Q: Among the records above, which one has the highest total magnetic moment?
A: Zr2Zn3Tc